# 1
! YAlMo2, optimized geometry, DFT GGA-PBE; values from VASP
&SYSTEM
  ibrav = 0, nat = 8, ntyp = 3
/
ATOMIC_SPECIES
Y 88.91 Y.upf
Al 26.98 Al.upf
Mo 95.94 Mo.upf
CELL_PARAMETERS angstrom
8.417 0.000 0.000
0.000 3.198 0.000
-0.853 0.000 5.965
ATOMIC_POSITIONS angstrom
Y 0.000 0.000 0.000
Y 4.208 1.599 0.000
Al 1.502 0.000 4.110
Al 5.710 1.599 4.110
Mo -0.323 1.599 2.912
Mo 2.030 1.599 1.935
Mo 3.885 0.000 2.912
Mo 6.239 0.000 1.935
! Calculated total energy: -62.3 eV for the cell shown
! Total magnetization: 0.0 μB per formula unit
! Calculated formation energy: 182 meV per atom
! ρ: 6.367 g cm⁻³

---

# 2
! Dy3Ho5Er2, optimized geometry, DFT GGA-PBE; values from VASP
&SYSTEM
  ibrav = 0, nat = 20, ntyp = 3
/
ATOMIC_SPECIES
Dy 162.50 Dy.upf
Ho 164.93 Ho.upf
Er 167.26 Er.upf
CELL_PARAMETERS angstrom
5.283 -7.775 0.000
5.283 7.775 0.000
-5.254 0.000 7.777
ATOMIC_POSITIONS angstrom
Dy 1.255 1.952 0.361
Dy 1.342 4.187 5.833
Dy -1.372 -1.952 4.249
Dy 6.684 1.952 3.527
Dy 3.969 -4.187 1.944
Dy 4.057 -1.952 7.416
Ho 1.342 7.403 5.833
Ho -1.290 1.856 6.060
Ho 3.969 3.518 1.944
Ho 1.337 -1.856 2.171
Ho 3.969 0.440 1.944
Ho 1.342 -0.440 5.833
Ho 3.974 1.856 5.605
Ho 1.342 -3.518 5.833
Ho 6.601 -1.856 1.717
Ho 3.969 -7.403 1.944
Er 1.259 1.876 3.518
Er -1.368 -1.876 7.407
Er 6.680 1.876 0.370
Er 4.053 -1.876 4.258
! Calculated total energy: -87.6 eV for the cell shown
! Total magnetization: 0.0 μB per formula unit
! Calculated formation energy: 204 meV per atom
! ρ: 8.561 g cm⁻³
! E above lowest polymorph: 0.00 eV per formula unit

---

# 3
! Rh2O3, optimized geometry, DFT GGA-PBE; values from VASP
&SYSTEM
  ibrav = 0, nat = 40, ntyp = 2
/
ATOMIC_SPECIES
Rh 102.91 Rh.upf
O 16.00 O.upf
CELL_PARAMETERS angstrom
5.232 0.000 0.000
0.000 5.524 0.000
0.000 0.000 14.952
ATOMIC_POSITIONS angstrom
Rh 0.005 0.993 1.130
Rh 0.005 1.373 4.804
Rh 0.005 1.389 12.280
Rh 0.005 1.769 8.606
Rh 2.611 3.755 1.130
Rh 2.611 4.136 4.804
Rh 2.611 4.151 12.280
Rh 2.611 4.532 8.606
Rh 2.621 0.993 6.346
Rh 2.621 1.373 2.672
Rh 2.621 1.389 10.148
Rh 2.621 1.769 13.822
Rh 5.227 3.755 6.346
Rh 5.227 4.136 2.672
Rh 5.227 4.151 10.148
Rh 5.227 4.532 13.822
O 0.745 0.611 3.032
O 0.745 2.151 10.507
O 0.787 3.644 8.256
O 0.787 4.642 0.780
O 1.046 2.952 13.090
O 1.046 5.334 5.615
O 1.570 0.190 13.090
O 1.570 2.572 5.615
O 1.829 0.882 8.256
O 1.829 1.880 0.780
O 1.871 3.373 3.032
O 1.871 4.913 10.507
O 3.361 0.611 4.444
O 3.361 2.151 11.920
O 3.403 3.644 14.171
O 3.403 4.642 6.696
O 3.662 2.952 9.337
O 3.662 5.334 1.861
O 4.186 0.190 9.337
O 4.186 2.572 1.861
O 4.444 0.882 14.171
O 4.444 1.880 6.696
O 4.487 3.373 4.444
O 4.487 4.913 11.920
! Calculated total energy: -262.8 eV for the cell shown
! Total magnetization: 0.0 μB per formula unit
! ρ: 7.803 g cm⁻³

---

# 4
! Tb2PmSmTm, optimized geometry, DFT GGA-PBE; values from VASP
&SYSTEM
  ibrav = 0, nat = 10, ntyp = 4
/
ATOMIC_SPECIES
Tb 158.93 Tb.upf
Pm 145.00 Pm.upf
Sm 150.36 Sm.upf
Tm 168.93 Tm.upf
CELL_PARAMETERS angstrom
4.204 -5.755 0.000
4.204 5.755 0.000
0.000 0.000 7.164
ATOMIC_POSITIONS angstrom
Tb 1.575 0.000 0.000
Tb 1.575 0.000 3.582
Tb 6.833 0.000 0.000
Tb 6.833 0.000 3.582
Pm 4.204 0.045 5.373
Pm 4.204 -0.045 1.791
Sm 4.204 3.135 5.373
Sm 4.204 -3.135 1.791
Tm 4.204 3.179 1.791
Tm 4.204 -3.179 5.373
! Calculated total energy: -42.4 eV for the cell shown
! Total magnetization: 0.0 μB per formula unit
! Calculated formation energy: 405 meV per atom
! ρ: 7.494 g cm⁻³

---

# 5
! TbNd12Mg3, optimized geometry, DFT GGA-PBE; values from VASP
&SYSTEM
  ibrav = 0, nat = 16, ntyp = 3
/
ATOMIC_SPECIES
Tb 158.93 Tb.upf
Nd 144.24 Nd.upf
Mg 24.30 Mg.upf
CELL_PARAMETERS angstrom
5.060 0.000 0.000
0.000 5.060 0.000
0.000 0.000 20.412
ATOMIC_POSITIONS angstrom
Tb 0.000 0.000 0.000
Nd 0.000 2.530 2.617
Nd 0.000 2.530 7.684
Nd 0.000 2.530 12.727
Nd 0.000 2.530 17.795
Nd 2.530 0.000 2.617
Nd 2.530 0.000 7.684
Nd 2.530 0.000 12.727
Nd 2.530 0.000 17.795
Nd 2.530 2.530 0.000
Nd 2.530 2.530 5.167
Nd 2.530 2.530 10.206
Nd 2.530 2.530 15.245
Mg 0.000 0.000 5.185
Mg 0.000 0.000 10.206
Mg 0.000 0.000 15.226
! Calculated total energy: -66.6 eV for the cell shown
! Total magnetization: 0.0 μB per formula unit
! Calculated formation energy: 1 meV per atom
! ρ: 6.235 g cm⁻³

---

# 6
! Ce2MgI6, optimized geometry, DFT GGA-PBE; values from VASP
&SYSTEM
  ibrav = 0, nat = 9, ntyp = 3
/
ATOMIC_SPECIES
Ce 140.12 Ce.upf
Mg 24.30 Mg.upf
I 126.90 I.upf
CELL_PARAMETERS angstrom
8.075 -2.091 0.000
8.075 2.091 0.000
-6.658 0.000 11.318
ATOMIC_POSITIONS angstrom
Ce 0.933 0.000 3.257
Ce 8.560 0.000 8.061
Mg 8.075 0.000 0.000
I -1.006 0.000 6.054
I -1.138 0.000 9.947
I 2.830 0.000 8.761
I 6.663 0.000 2.558
I 10.631 0.000 1.371
I 10.500 0.000 5.264
! Calculated total energy: -32.9 eV for the cell shown
! Total magnetization: 2.3 μB per formula unit
! ρ: 4.631 g cm⁻³
! E above lowest polymorph: 0.38 eV per formula unit